1.
VASP calculation (PBE-GGA) on PmAgAs after structural relaxation.

Cell lengths 3.0772, 3.0772, 8.3120 Å; angles 100.67, 100.67, 90.00 degrees
Last column: nearest neighbours and their distance in Å.
Atoms (fractional coordinates):
As  0.7630  0.7630  0.5260  4 Ag 2.93, 1 Pm 2.94, 4 As 3.08
Ag  0.1408  0.1408  0.2816  4 As 2.93, 4 Ag 3.08, 1 Pm 3.12
Pm  0.9462  0.9462  0.8924  1 As 2.94, 4 Pm 3.08, 1 Ag 3.12

Calculated values
As for the polymorph energy (0 for the lowest one): 1168 meV/atom. As for the formation energy: 383 meV/atom. The space group is No. 107.


2.
VASP calculation (PBE-GGA) on PmAgAs2 after structural relaxation.

Cell lengths 4.1680, 4.1680, 8.7003 Å; angles 76.14, 76.14, 60.00 degrees
Last column: nearest neighbours and their distance in Å.
Atoms (fractional coordinates):
As  0.0986  0.0986  0.7042  1 Ag 2.47
As  0.9014  0.9014  0.2958  1 Ag 2.47
Ag  0.0000  0.0000  0.0000  2 As 2.47
Pm  0.5000  0.5000  0.5000  6 As 2.95

Calculated values
As for the polymorph energy (0 for the lowest one): 649 meV/atom. As for the formation energy: -125 meV/atom. The space group is No. 166.


| no. | calculated density (g cm⁻³) |
| --- | --- |
| 1 | 7.17 |
| 2 | 5.32 |